VASP calculation (PBE with a Hubbard U) on Nd2UNiO8 after structural relaxation.

```
data_Nd2UNiO8
_chemical_formula_sum 'Nd2 U1 Ni1 O8'
_symmetry_space_group_name_H-M 'P 1'
_symmetry_Int_Tables_number 1
_symmetry_space_group_name_Hall 'P 1'
_cell_length_a 4.320
_cell_length_b 5.376
_cell_length_c 7.554
_cell_angle_alpha 80.90
_cell_angle_beta 94.02
_cell_angle_gamma 96.79
loop_
_atom_site_label
_atom_site_type_symbol
_atom_site_fract_x
_atom_site_fract_y
_atom_site_fract_z
Nd1 Nd 0.428 0.522 0.742
Nd2 Nd 0.572 0.478 0.258
U1 U 0.000 0.000 0.000
Ni1 Ni 0.000 0.000 0.500
O1 O 0.093 0.700 0.183
O2 O 0.594 0.773 0.976
O3 O 0.907 0.146 0.265
O4 O 0.907 0.300 0.817
O5 O 0.406 0.227 0.024
O6 O 0.093 0.854 0.735
O7 O 0.697 0.742 0.488
O8 O 0.303 0.258 0.512
```

## Properties
total energy	-7.759	eV per atom